1.
Computed, not measured: a relaxed NpPaReMo crystal at the PBE level of DFT.

Calculated values
- Total DFT energy (no corrections): -11.15 eV/atom
- Crystal system: cubic
- Volume: 20.05 Å³ per atom
- Magnetization: 0.685 μB/atom
- Energy of formation from the pure elements: 1.1 eV per formula unit

Unit cell a=6.846 b=6.846 c=6.846 alpha=90.00 beta=90.00 gamma=90.00
Space group F-43m (No. 216)
Unique sites:
Np 0.000 0.000 0.000 (multiplicity 4)
Pa 0.000 0.000 0.500 (multiplicity 4)
Re 0.250 0.250 0.750 (multiplicity 4)
Mo 0.250 0.250 0.250 (multiplicity 4)

2.
Computed, not measured: a relaxed TmLuCoRu crystal at the PBE level of DFT.

Calculated values
- Total DFT energy (no corrections): -6.71 eV/atom
- Crystal system: cubic
- Volume: 18.12 Å³ per atom
- Magnetization: 0.000 μB/atom
- Energy of formation from the pure elements: -1.5 eV per formula unit

Unit cell a=6.619 b=6.619 c=6.619 alpha=90.00 beta=90.00 gamma=90.00
Space group F-43m (No. 216)
Unique sites:
Tm 0.000 0.000 0.000 (multiplicity 4)
Lu 0.000 0.000 0.500 (multiplicity 4)
Co 0.250 0.250 0.250 (multiplicity 4)
Ru 0.250 0.250 0.750 (multiplicity 4)

3.
Computed, not measured: a relaxed Zn2MoOs crystal at the PBE level of DFT.

Calculated values
- Total DFT energy (no corrections): -5.96 eV/atom
- Crystal system: orthorhombic
- Volume: 15.06 Å³ per atom
- Magnetization: 0.000 μB/atom
- Energy of formation from the pure elements: 0.8 eV per formula unit

Unit cell a=2.952 b=4.563 c=8.945 alpha=90.00 beta=90.00 gamma=90.00
Space group Cmm2 (No. 35)
Unique sites:
Zn 0.000 0.000 0.000 (multiplicity 2)
Zn 0.000 0.500 0.248 (multiplicity 2)
Mo 0.000 0.000 0.505 (multiplicity 2)
Os 0.000 0.500 0.748 (multiplicity 2)

Please write out number 1 again, unchanged.
Computed, not measured: a relaxed NpPaReMo crystal at the PBE level of DFT.

Calculated values
- Total DFT energy (no corrections): -11.15 eV/atom
- Crystal system: cubic
- Volume: 20.05 Å³ per atom
- Magnetization: 0.685 μB/atom
- Energy of formation from the pure elements: 1.1 eV per formula unit

Unit cell a=6.846 b=6.846 c=6.846 alpha=90.00 beta=90.00 gamma=90.00
Space group F-43m (No. 216)
Unique sites:
Np 0.000 0.000 0.000 (multiplicity 4)
Pa 0.000 0.000 0.500 (multiplicity 4)
Re 0.250 0.250 0.750 (multiplicity 4)
Mo 0.250 0.250 0.250 (multiplicity 4)

Which formula does entry 1 have?
NpPaReMo

The lowest volume belongs to which entry?
Zn2MoOs